Record 1
Computed, not measured: a relaxed AsH2Pd7Pb2 crystal at the PBE-GGA level of DFT.

Calculated values
**E_tot**: -4.769 eV per atom
**Magnetization**: 0.0 μB/f.u.

Lattice parameters (Å, degrees): 5.6779 5.6885 11.7585 90.00 103.95 90.00
With the nearest neighbours (Å) after each atom.
Space group C2/m (No. 12)
Inequivalent atoms, fractional coordinates:
As 0.0000 0.0000 0.0000 (multiplicity 2)  12 Pd 2.81-2.84
H 0.0880 0.5000 0.1749 (multiplicity 4)  6 Pd 2.00-2.01
Pd 0.0000 0.5000 0.0000 (multiplicity 2)  2 H 2.00
Pd 0.1615 0.2498 0.8266 (multiplicity 8)  2 H 2.00-2.01
Pd 0.1774 0.5000 0.3515 (multiplicity 4)  1 H 2.01
Pb 0.2001 0.0000 0.3966 (multiplicity 4)  5 Pd 2.88-2.89

Record 2
Computed, not measured: a relaxed CsCdN2O crystal at the PBE-GGA level of DFT.

Calculated values
**E_tot**: -3.589 eV per atom
**Energy relative to the elements, uncorrected**: 25.1 kcal/mol of atoms
**Magnetization**: 4.9 μB/f.u.

Lattice parameters (Å, degrees): 4.6878 4.6878 4.4969 90.00 90.00 90.00
With the nearest neighbours (Å) after each atom.
Space group P4/mmm (No. 123)
Inequivalent atoms, fractional coordinates:
Cs 0.0000 0.0000 0.0000 (multiplicity 1)  8 N 3.25, 4 O 3.31
Cd 0.5000 0.5000 0.5000 (multiplicity 1)  2 O 2.25, 4 N 2.34
N 0.0000 0.5000 0.5000 (multiplicity 2)  2 Cd 2.34
O 0.5000 0.5000 0.0000 (multiplicity 1)  2 Cd 2.25

Record 3
Computed, not measured: a relaxed As2RuCl crystal at the PBE-GGA level of DFT.

Calculated values
**E_tot**: -4.569 eV per atom
**Energy relative to the elements, uncorrected**: 12.4 kcal/mol of atoms
**Magnetization**: 0.0 μB/f.u.
**ΔE to the lowest computed polymorph**: 708.2 meV per atom

Lattice parameters (Å, degrees): 6.4499 6.4499 6.4499 90.00 90.00 90.00
With the nearest neighbours (Å) after each atom.
Space group F-43m (No. 216)
Inequivalent atoms, fractional coordinates:
As 0.0000 0.0000 0.0000 (multiplicity 4)  4 As 2.79, 4 Cl 2.79
As 0.2500 0.2500 0.2500 (multiplicity 4)  4 Ru 2.79, 4 As 2.79
Ru 0.0000 0.0000 0.5000 (multiplicity 4)  4 Cl 2.79, 4 As 2.79
Cl 0.2500 0.2500 0.7500 (multiplicity 4)  4 As 2.79, 4 Ru 2.79